## Ta2PRu (SCAN)

Data for Ta2PRu at its PBEsol-relaxed geometry.

a b c (Å): 2.841 2.841 7.448
angles (deg): 90.00 90.00 90.00
Sites, in units of the cell vectors:
Ta: 0.000 0.000 0.000
Ta: 0.500 0.500 0.310
P: 0.000 0.000 0.553
Ru: 0.500 0.500 0.721

Properties
crystal system = tetragonal
E_tot = -44.91 eV per atom
symmetry = No. 99
energy relative to the elements = -0.309 eV/atom
magnetization = 0.0 μB per formula unit